No. 1
The following is a PBE calculation of a relaxed structure of Li2IF, from the Alexandria database.

Cell lengths 5.484, 5.484, 6.489 Å; angles 65.01, 65.01, 90.00 degrees
Fractional positions:
Li1 0.264 0.625 0.250
Li2 0.486 0.125 0.250
Li3 0.375 0.514 0.750
Li4 0.875 0.736 0.750
F1 0.250 0.750 0.500
F2 0.500 0.500 0.000
I1 0.750 0.250 0.500
I2 0.000 0.000 0.000

Summary:
V in Å³ per atom: 19.56
Distance to the lowest polymorph of the same formula in eV per formula unit: 0.000
SG: No. 122

No. 2
The following is a PBE calculation of a relaxed structure of Li4I2F, from the Alexandria database.

Cell lengths 4.519, 4.519, 7.842 Å; angles 73.25, 73.25, 90.00 degrees
Fractional positions:
Li1 0.145 0.145 0.710
Li2 0.000 0.500 0.000
Li3 0.500 0.000 0.000
Li4 0.855 0.855 0.290
I1 0.358 0.358 0.284
I2 0.642 0.642 0.716
F1 0.000 0.000 0.000

Summary:
V in Å³ per atom: 20.90
Distance to the lowest polymorph of the same formula in eV per formula unit: 0.424
SG: No. 139

No. 3
The following is a PBE calculation of a relaxed structure of Li3I2F, from the Alexandria database.

Cell lengths 4.201, 4.187, 7.876 Å; angles 105.41, 105.47, 90.00 degrees
Fractional positions:
F1 0.500 0.290 0.000
Li1 0.369 0.161 0.739
Li2 0.000 0.289 0.000
Li3 0.631 0.422 0.261
I1 0.148 0.938 0.295
I2 0.852 0.643 0.705

Summary:
V in Å³ per atom: 21.39
SG: No. 71

No. 4
The following is a PBE calculation of a relaxed structure of Li4I2F, from the Alexandria database.

Cell lengths 4.015, 4.015, 11.219 Å; angles 79.69, 79.69, 90.00 degrees
Each line ends with the local moment (μB).
Fractional positions:
I1 0.328 0.328 0.344  0.01
I2 0.672 0.672 0.656  0.01
Li1 0.803 0.803 0.393  0.00
Li2 0.000 0.500 0.000  0.07
Li3 0.197 0.197 0.607  0.00
Li4 0.500 0.000 0.000  0.07
F1 0.000 0.000 0.000  0.04

Summary:
V in Å³ per atom: 25.00
Distance to the lowest polymorph of the same formula in eV per formula unit: 0.000
SG: No. 139

No. 5
The following is a PBE calculation of a relaxed structure of Li3IF4, from the Alexandria database.

Cell lengths 4.944, 7.413, 6.697 Å; angles 90.00, 90.00, 90.00 degrees
Fractional positions:
F1 0.645 0.609 0.777
F2 0.136 0.765 0.000
F3 0.638 0.245 0.000
F4 0.645 0.609 0.223
F5 0.138 0.755 0.500
F6 0.145 0.391 0.277
F7 0.145 0.391 0.723
F8 0.636 0.235 0.500
Li1 0.523 0.722 0.000
Li2 0.023 0.278 0.500
Li3 0.016 0.622 0.252
Li4 0.016 0.622 0.748
Li5 0.516 0.378 0.248
Li6 0.516 0.378 0.752
I1 0.896 0.022 0.000
I2 0.396 0.978 0.500

Summary:
V in Å³ per atom: 15.34
SG: No. 31

No. 6
The following is a PBE calculation of a relaxed structure of LiI2NF, from the Alexandria database.

Cell lengths 5.121, 5.121, 3.655 Å; angles 90.00, 90.00, 90.00 degrees
Fractional positions:
I1 0.000 0.500 0.000
I2 0.500 0.000 0.000
N1 0.000 0.000 0.500
F1 0.500 0.500 0.500
Li1 0.000 0.000 0.000

Summary:
V in Å³ per atom: 19.17
Distance to the lowest polymorph of the same formula in eV per formula unit: 0.411
SG: No. 123

No. 7
The following is a PBE calculation of a relaxed structure of LiI2NF, from the Alexandria database.

Cell lengths 5.447, 5.447, 4.253 Å; angles 90.00, 90.00, 90.00 degrees
Each line ends with the local moment (μB).
Fractional positions:
I1 0.000 0.500 0.000  -0.17
I2 0.500 0.000 0.000  -0.17
N1 0.000 0.000 0.500  1.62
F1 0.000 0.000 0.000  -0.14
Li1 0.500 0.500 0.500  0.00

Summary:
V in Å³ per atom: 25.23
Distance to the lowest polymorph of the same formula in eV per formula unit: 0.000
SG: No. 123

No. 8
The following is a PBE calculation of a relaxed structure of Li6I2NF, from the Alexandria database.

Cell lengths 6.372, 7.101, 7.949 Å; angles 90.00, 90.00, 90.00 degrees
Fractional positions:
I1 0.000 0.313 0.761
I2 0.500 0.687 0.261
I3 0.000 0.313 0.239
I4 0.500 0.687 0.739
N1 0.500 0.182 0.500
N2 0.000 0.818 0.000
Li1 0.500 0.199 0.249
Li2 0.778 0.006 0.000
Li3 0.292 0.380 0.500
Li4 0.500 0.199 0.751
Li5 0.278 0.994 0.500
Li6 0.722 0.994 0.500
Li7 0.708 0.380 0.500
Li8 0.222 0.006 0.000
Li9 0.792 0.620 0.000
Li10 0.208 0.620 0.000
Li11 0.000 0.801 0.749
Li12 0.000 0.801 0.251
F1 0.500 0.127 0.000
F2 0.000 0.873 0.500

Summary:
V in Å³ per atom: 17.98
SG: No. 59

No. 9
The following is a PBE calculation of a relaxed structure of LiIO2F, from the Alexandria database.

Cell lengths 3.613, 3.613, 5.470 Å; angles 90.00, 90.00, 90.00 degrees
Fractional positions:
I1 0.000 0.000 0.500
F1 0.500 0.500 0.500
O1 0.500 0.000 0.000
O2 0.000 0.500 0.000
Li1 0.000 0.000 0.000

Summary:
V in Å³ per atom: 14.28
SG: No. 123

No. 10
The following is a PBE calculation of a relaxed structure of LiI2OF, from the Alexandria database.

Cell lengths 5.026, 5.026, 4.331 Å; angles 90.00, 90.00, 90.00 degrees
Fractional positions:
F1 0.000 0.000 0.000
O1 0.000 0.000 0.500
I1 0.000 0.500 0.000
I2 0.500 0.000 0.000
Li1 0.500 0.500 0.500

Summary:
V in Å³ per atom: 21.88
Distance to the lowest polymorph of the same formula in eV per formula unit: 1.040
SG: No. 123

No. 11
The following is a PBE calculation of a relaxed structure of LiIO2F, from the Alexandria database.

Cell lengths 4.667, 4.667, 4.241 Å; angles 90.00, 90.00, 90.00 degrees
Each line ends with the local moment (μB).
Fractional positions:
I1 0.000 0.000 0.500  0.08
Li1 0.500 0.500 0.500  -0.01
O1 0.000 0.500 0.000  1.17
O2 0.500 0.000 0.000  1.17
F1 0.000 0.000 0.000  0.12

Summary:
V in Å³ per atom: 18.47
SG: No. 123

No. 12
The following is a PBE calculation of a relaxed structure of LiIO2F, from the Alexandria database.

Cell lengths 3.890, 3.890, 3.485 Å; angles 90.00, 90.00, 90.00 degrees
Fractional positions:
F1 0.000 0.000 0.500
Li1 0.000 0.000 0.000
O1 0.500 0.000 0.000
O2 0.000 0.500 0.000
I1 0.500 0.500 0.500

Summary:
V in Å³ per atom: 10.55
SG: No. 123

No. 13
The following is a PBE calculation of a relaxed structure of LiI2OF, from the Alexandria database.

Cell lengths 5.391, 5.391, 3.369 Å; angles 90.00, 90.00, 90.00 degrees
Fractional positions:
F1 0.500 0.500 0.500
I1 0.000 0.500 0.000
I2 0.500 0.000 0.000
Li1 0.000 0.000 0.000
O1 0.000 0.000 0.500

Summary:
V in Å³ per atom: 19.59
Distance to the lowest polymorph of the same formula in eV per formula unit: 0.000
SG: No. 123

No. 14
The following is a PBE calculation of a relaxed structure of Li5IO4F2, from the Alexandria database.

Cell lengths 4.787, 5.490, 5.869 Å; angles 90.00, 90.00, 115.85 degrees
Fractional positions:
F1 0.304 0.322 0.500
F2 0.982 0.678 0.500
Li1 0.717 0.635 0.240
Li2 0.082 0.365 0.760
Li3 0.717 0.635 0.760
Li4 0.082 0.365 0.240
Li5 0.379 0.000 0.500
O1 0.634 0.000 0.766
O2 0.062 0.614 0.000
O3 0.448 0.386 0.000
O4 0.634 0.000 0.234
I1 0.364 0.000 0.000

Summary:
V in Å³ per atom: 11.57
SG: No. 38

No. 15
The following is a PBE calculation of a relaxed structure of LiIO2F, from the Alexandria database.

Cell lengths 4.045, 4.045, 5.313 Å; angles 90.00, 90.00, 90.00 degrees
Fractional positions:
Li1 0.500 0.500 0.500
I1 0.000 0.000 0.000
O1 0.000 0.500 0.000
O2 0.500 0.000 0.000
F1 0.000 0.000 0.500

Summary:
V in Å³ per atom: 17.38
SG: No. 123

No. 16
The following is a PBE calculation of a relaxed structure of LiPIF2, from the Alexandria database.

Cell lengths 4.013, 6.521, 4.013 Å; angles 90.00, 90.00, 90.00 degrees
Fractional positions:
F1 0.000 0.000 0.500
F2 0.500 0.000 0.000
Li1 0.500 0.500 0.500
I1 0.000 0.500 0.000
P1 0.000 0.000 0.000

Summary:
V in Å³ per atom: 21.01
SG: No. 123

No. 17
The following is a PBE calculation of a relaxed structure of LiPb2IF, from the Alexandria database.

Cell lengths 6.209, 4.606, 6.209 Å; angles 90.00, 90.00, 90.00 degrees
Fractional positions:
I1 0.000 0.000 0.000
Pb1 0.000 0.000 0.500
Pb2 0.500 0.000 0.000
F1 0.000 0.500 0.000
Li1 0.500 0.500 0.500

Summary:
V in Å³ per atom: 35.52
SG: No. 123

No. 18
The following is a PBE calculation of a relaxed structure of RbLiIF6, from the Alexandria database.

Cell lengths 5.575, 5.886, 5.726 Å; angles 89.34, 90.20, 57.82 degrees
Each line ends with the local moment (μB).
Fractional positions:
Rb1 0.950 0.091 0.940  0.00
F1 0.661 0.009 0.310  0.05
F2 0.349 0.621 0.692  0.07
F3 0.546 0.505 0.283  0.03
F4 0.180 0.103 0.386  0.02
F5 0.954 0.518 0.648  0.02
F6 0.472 0.049 0.761  0.19
I1 0.327 0.349 0.463  0.41
Li1 0.560 0.756 0.518  0.00

Summary:
V in Å³ per atom: 17.66
SG: No. 1

No. 19
The following is a PBE calculation of a relaxed structure of Rb2LiI6F, from the Alexandria database.

Cell lengths 8.602, 8.602, 8.100 Å; angles 57.93, 57.93, 90.00 degrees
Fractional positions:
Rb1 0.250 0.750 0.500
Rb2 0.750 0.250 0.500
I1 0.272 0.272 0.000
I2 0.272 0.728 0.000
I3 0.728 0.272 0.000
I4 0.212 0.212 0.576
I5 0.788 0.788 0.424
I6 0.728 0.728 0.000
Li1 0.500 0.500 0.000
F1 0.000 0.000 0.000

Summary:
V in Å³ per atom: 39.58
SG: No. 139

No. 20
The following is a PBE calculation of a relaxed structure of LiReIF2, from the Alexandria database.

Cell lengths 4.018, 5.212, 4.018 Å; angles 90.00, 90.00, 90.00 degrees
Each line ends with the local moment (μB).
Fractional positions:
F1 0.500 0.000 0.000  0.08
F2 0.000 0.000 0.500  0.07
Li1 0.000 0.000 0.000  0.00
Re1 0.500 0.500 0.500  3.45
I1 0.000 0.500 0.000  0.05

Summary:
V in Å³ per atom: 16.83
SG: No. 123

No. 21
The following is a PBE calculation of a relaxed structure of LiSbI2F, from the Alexandria database.

Cell lengths 6.090, 6.090, 4.227 Å; angles 90.00, 90.00, 90.00 degrees
Fractional positions:
Li1 0.500 0.500 0.500
Sb1 0.000 0.000 0.500
I1 0.500 0.000 0.000
I2 0.000 0.500 0.000
F1 0.000 0.000 0.000

Summary:
V in Å³ per atom: 31.35
Distance to the lowest polymorph of the same formula in eV per formula unit: 0.000
SG: No. 123

No. 22
The following is a PBE calculation of a relaxed structure of LiSbI2F, from the Alexandria database.

Cell lengths 5.136, 5.136, 5.169 Å; angles 90.00, 90.00, 90.00 degrees
Fractional positions:
Sb1 0.000 0.000 0.500
I1 0.500 0.000 0.000
I2 0.000 0.500 0.000
F1 0.500 0.500 0.500
Li1 0.000 0.000 0.000

Summary:
V in Å³ per atom: 27.27
Distance to the lowest polymorph of the same formula in eV per formula unit: 2.419
SG: No. 123

No. 23
The following is a PBE calculation of a relaxed structure of LiSb2IF, from the Alexandria database.

Cell lengths 4.654, 4.654, 6.746 Å; angles 90.00, 90.00, 90.00 degrees
Fractional positions:
Sb1 0.000 0.500 0.000
Sb2 0.500 0.000 0.000
I1 0.000 0.000 0.500
Li1 0.500 0.500 0.500
F1 0.000 0.000 0.000

Summary:
V in Å³ per atom: 29.23
Distance to the lowest polymorph of the same formula in eV per formula unit: 0.000
SG: No. 123

No. 24
The following is a PBE calculation of a relaxed structure of LiSb2IF, from the Alexandria database.

Cell lengths 4.954, 4.954, 5.151 Å; angles 90.00, 90.00, 90.00 degrees
Fractional positions:
Sb1 0.500 0.000 0.000
Sb2 0.000 0.500 0.000
Li1 0.000 0.000 0.000
F1 0.500 0.500 0.500
I1 0.000 0.000 0.500

Summary:
V in Å³ per atom: 25.28
Distance to the lowest polymorph of the same formula in eV per formula unit: 1.635
SG: No. 123

No. 25
The following is a PBE calculation of a relaxed structure of LiSiIF2, from the Alexandria database.

Cell lengths 3.958, 5.333, 3.958 Å; angles 90.00, 90.00, 90.00 degrees
Fractional positions:
I1 0.500 0.500 0.500
Si1 0.000 0.500 0.000
Li1 0.000 0.000 0.000
F1 0.000 0.000 0.500
F2 0.500 0.000 0.000

Summary:
V in Å³ per atom: 16.71
SG: No. 123

No. 26
The following is a PBE calculation of a relaxed structure of Li2SiIF, from the Alexandria database.

Cell lengths 5.368, 5.368, 5.615 Å; angles 90.00, 90.00, 90.00 degrees
Each line ends with the local moment (μB).
Fractional positions:
Si1 0.000 0.000 0.500  0.42
I1 0.000 0.000 0.000  0.03
Li1 0.000 0.500 0.000  0.01
Li2 0.500 0.000 0.000  0.01
F1 0.500 0.500 0.500  0.08

Summary:
V in Å³ per atom: 32.35
SG: No. 123

| no. | uncorrected formation energy (meV/atom) |
| --- | --- |
| 1 | -1976 |
| 2 | -1256 |
| 3 | -1710 |
| 4 | -1317 |
| 5 | -2320 |
| 6 | 723 |
| 7 | 641 |
| 8 | -1166 |
| 9 | 199 |
| 10 | 146 |
| 11 | 313 |
| 12 | -451 |
| 13 | -62 |
| 14 | -1759 |
| 15 | -753 |
| 16 | -1127 |
| 17 | -35 |
| 18 | -2049 |
| 19 | -737 |
| 20 | -443 |
| 21 | -596 |
| 22 | -112 |
| 23 | -367 |
| 24 | -40 |
| 25 | -989 |
| 26 | -13 |